KBa3Hg, relaxed, DFT GGA-PBE; relative energy among the computed polymorphs = 728 meV per atom; space-group type = Pm-3m, No. 221; total DFT energy (no corrections) = -0.848 eV/atom; crystal system = cubic; ΔE_f = 585 meV/atom
1.0
7.082 0.000 0.000
0.000 7.082 0.000
0.000 0.000 7.082
K Ba Hg
1 3 1
direct
0.000 0.000 0.000 K
0.000 0.000 0.500 Ba
0.000 0.500 0.000 Ba
0.500 0.000 0.000 Ba
0.500 0.500 0.500 Hg